A relaxed structure of RbCaFeGe2. Source: Alexandria, functional PBE-GGA.

The structure in POSCAR format:
```
RbCaFeGe2
1.0
5.6290 0.0000 0.0000
0.0000 4.6752 0.0000
0.0000 0.0000 5.6290
Fe Ca Rb Ge
1 1 1 2
Direct
0.0000 0.5000 0.0000
0.5000 0.5000 0.5000
0.0000 0.0000 0.0000
0.5000 0.0000 0.0000
0.0000 0.0000 0.5000
```

Values from the calculation:
* space-group type: P4/mmm, No. 123
* E_tot: -13.09 eV per cell
* crystal system: tetragonal
* spin magnetization: 2.650 μB/f.u.